The following is a DFT calculation (PBE) of crystalline Cs2CdHgPt at its relaxed geometry.

Lattice parameters (Å, degrees): 6.6720 6.6720 5.2997 90.00 90.00 90.00
Space group P4/mmm (No. 123)
Symmetry-distinct sites (fractional):
1 Cs 0.0000 0.5000 0.0000 x2
2 Cd 0.0000 0.0000 0.5000 x1
3 Hg 0.5000 0.5000 0.5000 x1
4 Pt 0.0000 0.0000 0.0000 x1

Computed properties:
Energy relative to the lowest polymorph listed for this composition = 0.0000 eV/atom

The following is a DFT calculation (PBE) of crystalline HoBi2OsO8 at its relaxed geometry.

Lattice parameters (Å, degrees): 5.2084 6.7042 5.2240 90.00 90.98 90.00
Space group P2/m (No. 10)
Symmetry-distinct sites (fractional):
1 Ho 0.0000 0.0000 0.0000 x1
2 Bi 0.5000 0.2510 0.5000 x2
3 Os 0.0000 0.5000 0.0000 x1
4 O 0.1754 0.2796 0.1825 x4
5 O 0.2505 0.5000 0.7613 x2
6 O 0.3102 0.0000 0.6948 x2

Computed properties:
Uncorrected formation energy = -1580.6 meV/atom

The following is a DFT calculation (PBE) of crystalline LaHfZr at its relaxed geometry.

Lattice parameters (Å, degrees): 3.2602 19.0076 5.1100 90.00 90.00 90.00
Space group Cmcm (No. 63)
Symmetry-distinct sites (fractional):
1 La 0.0000 0.2044 0.2500 x4
2 Hf 0.0000 0.0398 0.2500 x4
3 Zr 0.0000 0.3973 0.2500 x4

Computed properties:
Energy relative to the lowest polymorph listed for this composition = 0.0000 eV/atom

The following is a DFT calculation (PBE) of crystalline AcLaI2 at its relaxed geometry.

Lattice parameters (Å, degrees): 4.0673 4.0673 34.2235 90.00 90.00 120.00
Space group R-3m (No. 166, hexagonal axes)
Symmetry-distinct sites (fractional):
1 Ac 0.0000 0.0000 0.0000 x3
2 La 0.0000 0.0000 0.5000 x3
3 I 0.0000 0.0000 0.0990 x6

Computed properties:
Uncorrected formation energy = -890.0 meV/atom
Energy relative to the lowest polymorph listed for this composition = 0.0811 eV/atom

The following is a DFT calculation (PBE) of crystalline PPbSe2N at its relaxed geometry.

Lattice parameters (Å, degrees): 5.6167 5.6167 3.3769 90.00 90.00 90.00
Space group P4/mmm (No. 123)
Symmetry-distinct sites (fractional):
1 P 0.0000 0.0000 0.0000 x1
2 Pb 0.5000 0.5000 0.5000 x1
3 Se 0.0000 0.5000 0.0000 x2
4 N 0.0000 0.0000 0.5000 x1

Computed properties:
Uncorrected formation energy = 347.7 meV/atom
Energy relative to the lowest polymorph listed for this composition = 0.0000 eV/atom

The following is a DFT calculation (PBE) of crystalline GdErScIn at its relaxed geometry.

Lattice parameters (Å, degrees): 7.5528 7.5528 7.5528 90.00 90.00 90.00
Space group F-43m (No. 216)
Symmetry-distinct sites (fractional):
1 Gd 0.0000 0.0000 0.0000 x4
2 Er 0.0000 0.0000 0.5000 x4
3 Sc 0.2500 0.2500 0.7500 x4
4 In 0.2500 0.2500 0.2500 x4

Computed properties:
Electronic total energy = -28.4 eV/f.u.

The following is a DFT calculation (PBE) of crystalline PaAsAuN at its relaxed geometry.

Lattice parameters (Å, degrees): 4.0423 4.0423 31.3858 90.00 90.00 120.00
Space group R-3m (No. 166, hexagonal axes)
Symmetry-distinct sites (fractional):
1 Pa 0.0000 0.0000 0.1214 x6
2 As 0.0000 0.0000 0.3977 x6
3 Au 0.0000 0.0000 0.3049 x6
4 N 0.0000 0.0000 0.1920 x6

Computed properties:
Uncorrected formation energy = -931.2 meV/atom

The following is a DFT calculation (PBE) of crystalline K2LiSc at its relaxed geometry.

Lattice parameters (Å, degrees): 5.1015 5.1015 12.4402 90.00 90.00 90.00
Space group I4/mmm (No. 139)
Symmetry-distinct sites (fractional):
1 K 0.0000 0.5000 0.2500 x4
2 Li 0.0000 0.0000 0.0000 x2
3 Sc 0.0000 0.0000 0.5000 x2

Computed properties:
Electronic total energy = -8.0 eV/f.u.